(1)
First-principles (GGA-PBE) data for LaW after structural relaxation, as listed in Alexandria via LeMat-Bulk.

Lattice parameters (Å, degrees): 5.7299 5.7299 5.7299 90.00 90.00 90.00
Positions (direct):
La (0.0881, 0.4119, 0.5881)
La (0.4119, 0.5881, 0.0881)
La (0.5881, 0.0881, 0.4119)
La (0.9119, 0.9119, 0.9119)
W (0.0933, 0.9067, 0.4067)
W (0.4067, 0.0933, 0.9067)
W (0.5933, 0.5933, 0.5933)
W (0.9067, 0.4067, 0.0933)

* uncorrected energy: -7.6966 eV per atom
* spin magnetization: 0.00 μB per atom
* ΔE_f: 1.244 eV/atom
* volume: 188.1 Å³/cell

---

(2)
First-principles (GGA-PBE) data for MgTcOs2 after structural relaxation, as listed in Alexandria via LeMat-Bulk.

Lattice parameters (Å, degrees): 4.7890 4.7890 4.7890 132.12 132.12 70.04
Positions (direct):
Mg (0.0000, 0.0000, 0.0000)
Tc (0.5000, 0.5000, 0.0000)
Os (0.2500, 0.7500, 0.5000)
Os (0.7500, 0.2500, 0.5000)

* uncorrected energy: -8.2748 eV per atom
* spin magnetization: 0.00 μB per atom
* ΔE_f: 0.330 eV/atom
* volume: 59.2 Å³/cell